1.
# Th3Mg7Hg4 | Alexandria | PBE-GGA | optimized geometry
# DFT formation energy (eV/atom): -0.18
data_Th3Mg7Hg4
_chemical_formula_sum 'Th6 Mg14 Hg8'
_symmetry_space_group_name_H-M 'C 1 2/m 1'
_symmetry_Int_Tables_number 12
_cell_length_a 17.2450
_cell_length_b 4.7237
_cell_length_c 10.2944
_cell_angle_alpha 90.00
_cell_angle_beta 125.44
_cell_angle_gamma 90.00
loop_
_symmetry_equiv_pos_as_xyz
'x,y,z'
'-x,-y,-z'
'-x,y,-z'
'x,-y,z'
'x+1/2,y+1/2,z'
'-x+1/2,-y+1/2,-z'
'-x+1/2,y+1/2,-z'
'x+1/2,-y+1/2,z'
loop_
_atom_site_label
_atom_site_fract_x
_atom_site_fract_y
_atom_site_fract_z
Th1 0.0000 0.0000 0.0000
Th2 0.2013 0.5000 0.7070
Mg1 0.0000 0.0000 0.5000
Mg2 0.0060 0.5000 0.3103
Mg3 0.1580 0.0000 0.4291
Mg4 0.1706 0.5000 0.0172
Hg1 0.1272 0.0000 0.8444
Hg2 0.1501 0.5000 0.2628



2.
# Th2MgHg | Alexandria | PBE-GGA | optimized geometry
# Energy above the most stable polymorph in this dataset (meV/atom): 268.2
# DFT formation energy (eV/atom): 0.18
data_Th2MgHg
_chemical_formula_sum 'Th6 Mg3 Hg3'
_symmetry_space_group_name_H-M 'R -3 m'
_symmetry_Int_Tables_number 166
_symmetry_space_group_name_Hall '-R 3 2"'
_cell_length_a 3.3721
_cell_length_b 3.3721
_cell_length_c 36.3718
_cell_angle_alpha 90.00
_cell_angle_beta 90.00
_cell_angle_gamma 120.00
loop_
_atom_site_label
_atom_site_fract_x
_atom_site_fract_y
_atom_site_fract_z
Th1 0.0000 0.0000 0.0917
Mg1 0.0000 0.0000 0.0000
Hg1 0.0000 0.0000 0.5000



3.
# Th2MgHg5 | Alexandria | PBE-GGA | optimized geometry
# DFT formation energy (eV/atom): -0.17
data_Th2MgHg5
_chemical_formula_sum 'Th4 Mg2 Hg10'
_symmetry_space_group_name_H-M 'I 4 m m'
_symmetry_Int_Tables_number 107
_symmetry_space_group_name_Hall 'I 4 -2'
_cell_length_a 6.9921
_cell_length_b 6.9921
_cell_length_c 8.4860
_cell_angle_alpha 90.00
_cell_angle_beta 90.00
_cell_angle_gamma 90.00
loop_
_atom_site_label
_atom_site_fract_x
_atom_site_fract_y
_atom_site_fract_z
Th1 0.0000 0.5000 0.0000
Mg1 0.0000 0.0000 0.0428
Hg1 0.0000 0.0000 0.4681
Hg2 0.2268 0.2268 0.7506



4.
# ThMg5Hg6 | Alexandria | PBE-GGA | optimized geometry
# DFT formation energy (eV/atom): -0.22
data_ThMg5Hg6
_chemical_formula_sum 'Th2 Mg10 Hg12'
_symmetry_space_group_name_H-M 'C 1 2/m 1'
_symmetry_Int_Tables_number 12
_cell_length_a 8.7857
_cell_length_b 15.3439
_cell_length_c 4.8829
_cell_angle_alpha 90.00
_cell_angle_beta 123.48
_cell_angle_gamma 90.00
loop_
_symmetry_equiv_pos_as_xyz
'x,y,z'
'-x,-y,-z'
'-x,y,-z'
'x,-y,z'
'x+1/2,y+1/2,z'
'-x+1/2,-y+1/2,-z'
'-x+1/2,y+1/2,-z'
'x+1/2,-y+1/2,z'
loop_
_atom_site_label
_atom_site_fract_x
_atom_site_fract_y
_atom_site_fract_z
Th1 0.0000 0.0000 0.0000
Mg1 0.0000 0.1688 0.5000
Mg2 0.0000 0.3289 0.0000
Mg3 0.0000 0.5000 0.5000
Hg1 0.2248 0.5000 0.2258
Hg2 0.2412 0.3287 0.7413